(1)
## Ba4Tl2Cu2HgO10 (PBE-GGA)

Data for a relaxed Ba4Tl2Cu2HgO10 crystal.

Properties
energy relative to the elements, uncorrected	-1.4808	eV/atom

abc: 3.918 3.918 43.576
angles: 90.00 90.00 90.00
Space group I4/mmm (No. 139)
Inequivalent atoms, fractional coordinates:
Ba  0.000  0.000  0.069 (multiplicity 4)
Ba  0.000  0.000  0.158 (multiplicity 4)
Tl  0.000  0.000  0.276 (multiplicity 4)
Cu  0.000  0.000  0.387 (multiplicity 4)
Hg  0.000  0.000  0.500 (multiplicity 2)
O  0.000  0.000  0.229 (multiplicity 4)
O  0.000  0.000  0.323 (multiplicity 4)
O  0.000  0.000  0.454 (multiplicity 4)
O  0.000  0.500  0.113 (multiplicity 8)


(2)
## Ba2TlCuHgO5 (PBE-GGA)

Data for a relaxed Ba2TlCuHgO5 crystal.

Properties
energy relative to the elements, uncorrected	-1.3600	eV/atom

abc: 3.936 3.936 23.875
angles: 90.00 90.00 90.00
Space group I4mm (No. 107)
Inequivalent atoms, fractional coordinates:
Ba  0.000  0.000  0.000 (multiplicity 2)
Ba  0.000  0.000  0.164 (multiplicity 2)
Tl  0.000  0.000  0.778 (multiplicity 2)
Cu  0.000  0.000  0.589 (multiplicity 2)
Hg  0.000  0.000  0.375 (multiplicity 2)
O  0.000  0.000  0.289 (multiplicity 2)
O  0.000  0.000  0.459 (multiplicity 2)
O  0.000  0.000  0.684 (multiplicity 2)
O  0.000  0.500  0.079 (multiplicity 4)


(3)
## BaCuHgP (PBE-GGA)

Data for a relaxed BaCuHgP crystal.

Properties
energy relative to the elements	-0.52	eV per atom

abc: 4.229 4.229 11.548
angles: 90.00 90.00 90.00
Space group P4/nmm (No. 129, origin choice 2)
Inequivalent atoms, fractional coordinates:
Ba  0.250  0.250  0.222 (multiplicity 2)
Cu  0.250  0.750  0.000 (multiplicity 2)
Hg  0.250  0.750  0.500 (multiplicity 2)
P  0.250  0.250  0.894 (multiplicity 2)


(4)
## BaCu4HgP2 (PBE-GGA)

Data for a relaxed BaCu4HgP2 crystal.

Properties
energy relative to the elements	-0.27	eV per atom

abc: 4.074 4.074 9.577
angles: 90.00 90.00 90.00
Space group P4/mmm (No. 123)
Inequivalent atoms, fractional coordinates:
Ba  0.000  0.000  0.000 (multiplicity 1)
Cu  0.000  0.500  0.301 (multiplicity 4)
Hg  0.000  0.000  0.500 (multiplicity 1)
P  0.500  0.500  0.199 (multiplicity 2)


(5)
## BaCuHg2Pb (PBE-GGA)

Data for a relaxed BaCuHg2Pb crystal.

Properties
energy relative to the elements	0.36	eV per atom

abc: 5.712 5.712 7.137
angles: 90.00 90.00 90.00
Space group P4/mmm (No. 123)
Inequivalent atoms, fractional coordinates:
Ba  0.000  0.000  0.000 (multiplicity 1)
Cu  0.500  0.500  0.000 (multiplicity 1)
Hg  0.000  0.500  0.500 (multiplicity 2)
Pb  0.000  0.000  0.500 (multiplicity 1)


(6)
## BaCuHg2Pb (PBE-GGA)

Data for a relaxed BaCuHg2Pb crystal.

Properties
energy relative to the elements	-0.18	eV per atom

abc: 5.222 5.222 5.379
angles: 90.00 90.00 90.00
Space group P4/mmm (No. 123)
Inequivalent atoms, fractional coordinates:
Ba  0.000  0.000  0.000 (multiplicity 1)
Cu  0.500  0.500  0.500 (multiplicity 1)
Hg  0.000  0.500  0.500 (multiplicity 2)
Pb  0.500  0.500  0.000 (multiplicity 1)


(7)
## Ba2CuHgPd (PBE-GGA)

Data for a relaxed Ba2CuHgPd crystal.

Properties
energy relative to the elements	-0.21	eV per atom

abc: 6.081 6.081 4.871
angles: 90.00 90.00 90.00
Space group P4/mmm (No. 123)
Inequivalent atoms, fractional coordinates:
Ba  0.000  0.500  0.000 (multiplicity 2)
Cu  0.000  0.000  0.500 (multiplicity 1)
Hg  0.500  0.500  0.500 (multiplicity 1)
Pd  0.000  0.000  0.000 (multiplicity 1)


(8)
## BaCuHg2Pd (PBE-GGA)

Data for a relaxed BaCuHg2Pd crystal.

Properties
energy relative to the elements	-0.18	eV per atom

abc: 5.283 5.283 5.035
angles: 90.00 90.00 90.00
Space group P4/mmm (No. 123)
Inequivalent atoms, fractional coordinates:
Ba  0.000  0.000  0.000 (multiplicity 1)
Cu  0.500  0.500  0.000 (multiplicity 1)
Hg  0.000  0.500  0.500 (multiplicity 2)
Pd  0.500  0.500  0.500 (multiplicity 1)


(9)
## Ba2Cu2HgPd5 (PBE-GGA)

Data for a relaxed Ba2Cu2HgPd5 crystal.

Properties
energy relative to the elements	-0.32	eV per atom

abc: 10.092 10.092 3.974
angles: 90.00 90.00 90.00
Space group P4/mbm (No. 127)
Inequivalent atoms, fractional coordinates:
Ba  0.182  0.318  0.000 (multiplicity 4)
Cu  0.115  0.615  0.000 (multiplicity 4)
Hg  0.000  0.000  0.000 (multiplicity 2)
Pd  0.000  0.500  0.500 (multiplicity 2)
Pd  0.061  0.786  0.500 (multiplicity 8)


(10)
## BaPmCuHg (PBE-GGA)

Data for a relaxed BaPmCuHg crystal.

Properties
energy relative to the elements	-0.12	eV per atom

abc: 7.787 7.787 7.787
angles: 90.00 90.00 90.00
Space group F-43m (No. 216)
Inequivalent atoms, fractional coordinates:
Ba  0.000  0.000  0.000 (multiplicity 4)
Pm  0.000  0.000  0.500 (multiplicity 4)
Cu  0.250  0.250  0.250 (multiplicity 4)
Hg  0.250  0.250  0.750 (multiplicity 4)


(11)
## BaPrCuHg (PBE-GGA)

Data for a relaxed BaPrCuHg crystal.

Properties
energy relative to the elements	-0.13	eV per atom

abc: 7.839 7.839 7.839
angles: 90.00 90.00 90.00
Space group F-43m (No. 216)
Inequivalent atoms, fractional coordinates:
Ba  0.000  0.000  0.000 (multiplicity 4)
Pr  0.000  0.000  0.500 (multiplicity 4)
Cu  0.250  0.250  0.750 (multiplicity 4)
Hg  0.250  0.250  0.250 (multiplicity 4)


(12)
## Ba2CuHgPt (PBE-GGA)

Data for a relaxed Ba2CuHgPt crystal.

Properties
energy relative to the elements	-0.33	eV per atom

abc: 6.098 6.098 4.859
angles: 90.00 90.00 90.00
Space group P4/mmm (No. 123)
Inequivalent atoms, fractional coordinates:
Ba  0.000  0.500  0.000 (multiplicity 2)
Cu  0.000  0.000  0.500 (multiplicity 1)
Hg  0.500  0.500  0.500 (multiplicity 1)
Pt  0.000  0.000  0.000 (multiplicity 1)


(13)
## BaCuHg2Rh (PBE-GGA)

Data for a relaxed BaCuHg2Rh crystal.

Properties
energy relative to the elements	-0.10	eV per atom

abc: 5.273 5.273 4.947
angles: 90.00 90.00 90.00
Space group P4/mmm (No. 123)
Inequivalent atoms, fractional coordinates:
Ba  0.000  0.000  0.000 (multiplicity 1)
Cu  0.500  0.500  0.000 (multiplicity 1)
Hg  0.000  0.500  0.500 (multiplicity 2)
Rh  0.500  0.500  0.500 (multiplicity 1)


(14)
## Ba2CuHgRh (PBE-GGA)

Data for a relaxed Ba2CuHgRh crystal.

Properties
energy relative to the elements	-0.08	eV per atom

abc: 5.929 5.929 4.862
angles: 90.00 90.00 90.00
Space group P4/mmm (No. 123)
Inequivalent atoms, fractional coordinates:
Ba  0.000  0.500  0.000 (multiplicity 2)
Cu  0.000  0.000  0.500 (multiplicity 1)
Hg  0.500  0.500  0.500 (multiplicity 1)
Rh  0.000  0.000  0.000 (multiplicity 1)


(15)
## BaCu2HgS (PBE-GGA)

Data for a relaxed BaCu2HgS crystal.

Properties
energy relative to the elements, uncorrected	0.8257	eV/atom

abc: 6.127 6.127 5.638
angles: 90.00 90.00 90.00
Space group P4/mmm (No. 123)
Inequivalent atoms, fractional coordinates:
Ba  0.000  0.000  0.000 (multiplicity 1)
Cu  0.000  0.500  0.000 (multiplicity 2)
Hg  0.500  0.500  0.500 (multiplicity 1)
S  0.000  0.000  0.500 (multiplicity 1)


(16)
## BaCuHg2Sb (PBE-GGA)

Data for a relaxed BaCuHg2Sb crystal.

Properties
energy relative to the elements, uncorrected	-0.3095	eV/atom

abc: 5.198 5.198 5.364
angles: 90.00 90.00 90.00
Space group P4/mmm (No. 123)
Inequivalent atoms, fractional coordinates:
Ba  0.000  0.000  0.000 (multiplicity 1)
Cu  0.500  0.500  0.500 (multiplicity 1)
Hg  0.000  0.500  0.500 (multiplicity 2)
Sb  0.500  0.500  0.000 (multiplicity 1)


(17)
## BaCuHgSb2 (PBE-GGA)

Data for a relaxed BaCuHgSb2 crystal.

Properties
energy relative to the elements, uncorrected	-0.2793	eV/atom

abc: 5.254 5.254 5.326
angles: 90.00 90.00 90.00
Space group P4/mmm (No. 123)
Inequivalent atoms, fractional coordinates:
Ba  0.000  0.000  0.000 (multiplicity 1)
Cu  0.500  0.500  0.500 (multiplicity 1)
Hg  0.500  0.500  0.000 (multiplicity 1)
Sb  0.000  0.500  0.500 (multiplicity 2)


(18)
## Ba2Cu4HgSb3 (PBE-GGA)

Data for a relaxed Ba2Cu4HgSb3 crystal.

Properties
energy relative to the elements, uncorrected	-0.4146	eV/atom

abc: 4.717 4.717 10.779
angles: 90.00 90.00 90.00
Space group P-4m2 (No. 115)
Inequivalent atoms, fractional coordinates:
Ba  0.000  0.500  0.240 (multiplicity 2)
Cu  0.000  0.000  0.000 (multiplicity 1)
Cu  0.000  0.500  0.629 (multiplicity 2)
Cu  0.500  0.500  0.000 (multiplicity 1)
Hg  0.000  0.000  0.500 (multiplicity 1)
Sb  0.000  0.500  0.874 (multiplicity 2)
Sb  0.500  0.500  0.500 (multiplicity 1)


(19)
## Ba2CuSiHg (PBE-GGA)

Data for a relaxed Ba2CuSiHg crystal.

Properties
energy relative to the elements, uncorrected	-0.2389	eV/atom

abc: 6.207 6.207 4.421
angles: 90.00 90.00 90.00
Space group P4/mmm (No. 123)
Inequivalent atoms, fractional coordinates:
Ba  0.000  0.500  0.000 (multiplicity 2)
Cu  0.000  0.000  0.000 (multiplicity 1)
Si  0.000  0.000  0.500 (multiplicity 1)
Hg  0.500  0.500  0.500 (multiplicity 1)


(20)
## Ba2CuSn4Hg3 (PBE-GGA)

Data for a relaxed Ba2CuSn4Hg3 crystal.

Properties
energy relative to the elements	-0.35	eV per atom

abc: 4.950 4.950 11.950
angles: 90.00 90.00 90.00
Space group P-4m2 (No. 115)
Inequivalent atoms, fractional coordinates:
Ba  0.000  0.500  0.235 (multiplicity 2)
Cu  0.500  0.500  0.000 (multiplicity 1)
Sn  0.000  0.000  0.500 (multiplicity 1)
Sn  0.000  0.500  0.883 (multiplicity 2)
Sn  0.500  0.500  0.500 (multiplicity 1)
Hg  0.000  0.000  0.000 (multiplicity 1)
Hg  0.000  0.500  0.645 (multiplicity 2)


Computed E, in the same sequence as the records: -0.1908, -0.1801, -0.1270, -0.1452, -0.0626, -0.0825, -0.1066, -0.0934, -0.1525, -0.1061, -0.1068, -0.1173, -0.1064, -0.1177, -0.0766, -0.0903, -0.1173, -0.1361, -0.1092, -0.1043 Ha/atom.
Computed density of states at the Fermi level, in the same sequence as the records: 0.199, 0.551, 0.416, 0.265, 0.298, 0.655, 0.588, 0.469, 0.271, 0.898, 0.868, 0.595, 0.431, 0.836, 1.257, 0.271, 0.378, 0.405, 0.702, 0.340 states/eV/atom.
Computed volume, in the same sequence as the records: 334.46, 184.96, 103.25, 158.91, 232.86, 146.66, 180.12, 140.51, 202.39, 118.06, 120.45, 180.70, 137.53, 170.93, 211.67, 144.93, 147.02, 239.88, 170.34, 292.75 Å³/f.u..